Record 1
# RbSi3Au, optimized geometry, DFT GGA-PBE
# **Formation energy from raw total energies**: 231 kJ/mol of atoms
# **Energy relative to the lowest polymorph listed for this composition**: 1582.6 meV per atom
data_RbSi3Au
_symmetry_space_group_name_H-M 'P m -3 m'
_symmetry_Int_Tables_number 221
_symmetry_space_group_name_Hall '-P 4 2 3'
_cell_length_a 5.3993
_cell_length_b 5.3993
_cell_length_c 5.3993
_cell_angle_alpha 90.00
_cell_angle_beta 90.00
_cell_angle_gamma 90.00
loop_
_atom_site_label
_atom_site_fract_x
_atom_site_fract_y
_atom_site_fract_z
_atom_site_occupancy
Rb1 0.0000 0.0000 0.0000 1
Si1 0.0000 0.0000 0.5000 1
Au1 0.5000 0.5000 0.5000 1



Record 2
# Rb3SiAu4, optimized geometry, DFT GGA-PBE
# **Formation energy from raw total energies**: -25 kJ/mol of atoms
data_Rb3SiAu4
_symmetry_space_group_name_H-M 'I m m 2'
_symmetry_Int_Tables_number 44
_cell_length_a 6.6073
_cell_length_b 8.0915
_cell_length_c 9.0362
_cell_angle_alpha 90.00
_cell_angle_beta 90.00
_cell_angle_gamma 90.00
loop_
_symmetry_equiv_pos_as_xyz
'x,y,z'
'-x,-y,z'
'-x,y,z'
'x,-y,z'
'x+1/2,y+1/2,z+1/2'
'-x+1/2,-y+1/2,z+1/2'
'-x+1/2,y+1/2,z+1/2'
'x+1/2,-y+1/2,z+1/2'
loop_
_atom_site_label
_atom_site_fract_x
_atom_site_fract_y
_atom_site_fract_z
_atom_site_occupancy
Rb1 0.0000 0.0000 0.0000 1
Rb2 0.0000 0.2724 0.3239 1
Si1 0.0000 0.5000 0.8921 1
Au1 0.0000 0.2675 0.7166 1
Au2 0.2131 0.0000 0.5639 1



Record 3
# Rb2SiAu2, optimized geometry, DFT GGA-PBE
# **Formation energy from raw total energies**: -16 kJ/mol of atoms
# **Energy relative to the lowest polymorph listed for this composition**: 0.0 meV per atom
data_Rb2SiAu2
_symmetry_space_group_name_H-M 'C 1 2/c 1'
_symmetry_Int_Tables_number 15
_cell_length_a 11.4335
_cell_length_b 7.0899
_cell_length_c 7.8404
_cell_angle_alpha 90.00
_cell_angle_beta 99.96
_cell_angle_gamma 90.00
loop_
_symmetry_equiv_pos_as_xyz
'x,y,z'
'-x,-y,-z'
'-x,y,-z+1/2'
'x,-y,z+1/2'
'x+1/2,y+1/2,z'
'-x+1/2,-y+1/2,-z'
'-x+1/2,y+1/2,-z+1/2'
'x+1/2,-y+1/2,z+1/2'
loop_
_atom_site_label
_atom_site_fract_x
_atom_site_fract_y
_atom_site_fract_z
_atom_site_occupancy
Rb1 0.1549 0.1121 0.1352 1
Si1 0.0000 0.4484 0.7500 1
Au1 0.1084 0.3667 0.5079 1



Record 4
# RbSi2Au, optimized geometry, DFT GGA-PBE
# **Formation energy from raw total energies**: 20 kJ/mol of atoms
data_RbSi2Au
_symmetry_space_group_name_H-M 'R -3 m'
_symmetry_Int_Tables_number 166
_symmetry_space_group_name_Hall '-R 3 2"'
_cell_length_a 4.2135
_cell_length_b 4.2135
_cell_length_c 25.1207
_cell_angle_alpha 90.00
_cell_angle_beta 90.00
_cell_angle_gamma 120.00
loop_
_atom_site_label
_atom_site_fract_x
_atom_site_fract_y
_atom_site_fract_z
_atom_site_occupancy
Rb1 0.0000 0.0000 0.0000 1
Si1 0.0000 0.0000 0.1354 1
Au1 0.0000 0.0000 0.5000 1



Record 5
# RbSiTe4Au2, optimized geometry, DFT GGA-PBE
# **Formation energy from raw total energies**: -25 kJ/mol of atoms
data_RbSiTe4Au2
_symmetry_space_group_name_H-M 'I 2 2 2'
_symmetry_Int_Tables_number 23
_cell_length_a 7.3763
_cell_length_b 7.9209
_cell_length_c 9.1550
_cell_angle_alpha 90.00
_cell_angle_beta 90.00
_cell_angle_gamma 90.00
loop_
_symmetry_equiv_pos_as_xyz
'x,y,z'
'-x,-y,z'
'x,-y,-z'
'-x,y,-z'
'x+1/2,y+1/2,z+1/2'
'-x+1/2,-y+1/2,z+1/2'
'x+1/2,-y+1/2,-z+1/2'
'-x+1/2,y+1/2,-z+1/2'
loop_
_atom_site_label
_atom_site_fract_x
_atom_site_fract_y
_atom_site_fract_z
_atom_site_occupancy
Rb1 0.0000 0.0000 0.0000 1
Si1 0.0000 0.0000 0.5000 1
Te1 0.2000 0.1907 0.3458 1
Au1 0.0000 0.5000 0.1616 1



Record 6
# Rb2SiTe4Au, optimized geometry, DFT GGA-PBE
# **Formation energy from raw total energies**: -44 kJ/mol of atoms
data_Rb2SiTe4Au
_symmetry_space_group_name_H-M 'F d d d'
_symmetry_Int_Tables_number 70
_cell_length_a 7.1519
_cell_length_b 15.0742
_cell_length_c 23.7923
_cell_angle_alpha 90.00
_cell_angle_beta 90.00
_cell_angle_gamma 90.00
loop_
_symmetry_equiv_pos_as_xyz
'x,y,z'
'-x,-y,-z'
'-x+1/4,-y+1/4,z'
'x+1/4,y+1/4,-z'
'x,-y+1/4,-z+1/4'
'-x,y+1/4,z+1/4'
'-x+1/4,y,-z+1/4'
'x+1/4,-y,z+1/4'
'x,y+1/2,z+1/2'
'-x,-y+1/2,-z+1/2'
'-x+1/4,-y+3/4,z+1/2'
'x+1/4,y+3/4,-z+1/2'
'x,-y+3/4,-z+3/4'
'-x,y+3/4,z+3/4'
'-x+1/4,y+1/2,-z+3/4'
'x+1/4,-y+1/2,z+3/4'
'x+1/2,y,z+1/2'
'-x+1/2,-y,-z+1/2'
'-x+3/4,-y+1/4,z+1/2'
'x+3/4,y+1/4,-z+1/2'
'x+1/2,-y+1/4,-z+3/4'
'-x+1/2,y+1/4,z+3/4'
'-x+3/4,y,-z+3/4'
'x+3/4,-y,z+3/4'
'x+1/2,y+1/2,z'
'-x+1/2,-y+1/2,-z'
'-x+3/4,-y+3/4,z'
'x+3/4,y+3/4,-z'
'x+1/2,-y+3/4,-z+1/4'
'-x+1/2,y+3/4,z+1/4'
'-x+3/4,y+1/2,-z+1/4'
'x+3/4,-y+1/2,z+1/4'
loop_
_atom_site_label
_atom_site_fract_x
_atom_site_fract_y
_atom_site_fract_z
_atom_site_occupancy
Rb1 0.1250 0.1250 0.3038 1
Si1 0.1250 0.1250 0.6250 1
Te1 0.0988 0.2761 0.8205 1
Au1 0.1250 0.1250 0.1250 1



Record 7
# RbTlSiAu2, optimized geometry, DFT GGA-PBE
# **Formation energy from raw total energies**: -3 kJ/mol of atoms
data_RbTlSiAu2
_symmetry_space_group_name_H-M 'P 4/m m m'
_symmetry_Int_Tables_number 123
_symmetry_space_group_name_Hall '-P 4 2'
_cell_length_a 4.9931
_cell_length_b 4.9931
_cell_length_c 5.5617
_cell_angle_alpha 90.00
_cell_angle_beta 90.00
_cell_angle_gamma 90.00
loop_
_atom_site_label
_atom_site_fract_x
_atom_site_fract_y
_atom_site_fract_z
_atom_site_occupancy
Rb1 0.0000 0.0000 0.0000 1
Tl1 0.5000 0.5000 0.0000 1
Si1 0.5000 0.5000 0.5000 1
Au1 0.0000 0.5000 0.5000 1



Record 8
# RbSmAu2, optimized geometry, DFT GGA-PBE
# **ΔE_f**: -0.548 eV/atom
data_RbSmAu2
_symmetry_space_group_name_H-M 'P 4/m m m'
_symmetry_Int_Tables_number 123
_symmetry_space_group_name_Hall '-P 4 2'
_cell_length_a 3.8121
_cell_length_b 3.8121
_cell_length_c 8.3536
_cell_angle_alpha 90.00
_cell_angle_beta 90.00
_cell_angle_gamma 90.00
loop_
_atom_site_label
_atom_site_fract_x
_atom_site_fract_y
_atom_site_fract_z
_atom_site_occupancy
Rb1 0.0000 0.0000 0.0000 1
Sm1 0.0000 0.0000 0.5000 1
Au1 0.5000 0.5000 0.3198 1



Record 9
# RbSmAu, optimized geometry, DFT GGA-PBE
# **ΔE_f**: -0.102 eV/atom
data_RbSmAu
_symmetry_space_group_name_H-M 'A m m 2'
_symmetry_Int_Tables_number 38
_cell_length_a 16.2757
_cell_length_b 4.1312
_cell_length_c 7.1064
_cell_angle_alpha 90.00
_cell_angle_beta 90.00
_cell_angle_gamma 90.00
loop_
_symmetry_equiv_pos_as_xyz
'x,y,z'
'-x,-y,z'
'-x,y,z'
'x,-y,z'
'x,y+1/2,z+1/2'
'-x,-y+1/2,z+1/2'
'-x,y+1/2,z+1/2'
'x,-y+1/2,z+1/2'
loop_
_atom_site_label
_atom_site_fract_x
_atom_site_fract_y
_atom_site_fract_z
_atom_site_occupancy
Rb1 0.1476 0.0000 0.0000 1
Sm1 0.3871 0.0000 0.6569 1
Au1 0.0000 0.0000 0.6649 1
Au2 0.5000 0.0000 0.9910 1



Record 10
# RbSmTe3Au, optimized geometry, DFT GGA-PBE
# **Formation energy from raw total energies**: -90 kJ/mol of atoms
data_RbSmTe3Au
_symmetry_space_group_name_H-M 'C m c m'
_symmetry_Int_Tables_number 63
_symmetry_space_group_name_Hall '-C 2c 2'
_cell_length_a 4.3554
_cell_length_b 17.4186
_cell_length_c 11.3804
_cell_angle_alpha 90.00
_cell_angle_beta 90.00
_cell_angle_gamma 90.00
loop_
_atom_site_label
_atom_site_fract_x
_atom_site_fract_y
_atom_site_fract_z
_atom_site_occupancy
Rb1 0.0000 0.2447 0.2500 1
Sm1 0.0000 0.0000 0.0000 1
Te1 0.0000 0.0774 0.7500 1
Te2 0.0000 0.3755 0.5593 1
Au1 0.0000 0.4744 0.7500 1



Record 11
# RbSmTe2Au, optimized geometry, DFT GGA-PBE
# **Formation energy from raw total energies**: -86 kJ/mol of atoms
data_RbSmTe2Au
_symmetry_space_group_name_H-M 'P 1 2/c 1'
_symmetry_Int_Tables_number 13
_cell_length_a 8.9033
_cell_length_b 4.9521
_cell_length_c 8.5773
_cell_angle_alpha 90.00
_cell_angle_beta 97.70
_cell_angle_gamma 90.00
loop_
_symmetry_equiv_pos_as_xyz
'x,y,z'
'-x,-y,-z'
'-x,y,-z+1/2'
'x,-y,z+1/2'
loop_
_atom_site_label
_atom_site_fract_x
_atom_site_fract_y
_atom_site_fract_z
_atom_site_occupancy
Rb1 0.0000 0.1542 0.2500 1
Sm1 0.5000 0.4955 0.7500 1
Te1 0.2581 0.3341 0.9682 1
Au1 0.5000 0.0000 0.0000 1



Record 12
# RbSm2Te4Au, optimized geometry, DFT GGA-PBE
# **Formation energy from raw total energies**: -111 kJ/mol of atoms
data_RbSm2Te4Au
_symmetry_space_group_name_H-M 'C m c m'
_symmetry_Int_Tables_number 63
_symmetry_space_group_name_Hall '-C 2c 2'
_cell_length_a 4.5076
_cell_length_b 15.5215
_cell_length_c 15.8958
_cell_angle_alpha 90.00
_cell_angle_beta 90.00
_cell_angle_gamma 90.00
loop_
_atom_site_label
_atom_site_fract_x
_atom_site_fract_y
_atom_site_fract_z
_atom_site_occupancy
Rb1 0.0000 0.1244 0.2500 1
Sm1 0.0000 0.3689 0.0702 1
Te1 0.0000 0.0000 0.0000 1
Te2 0.0000 0.2646 0.6071 1
Te3 0.0000 0.4482 0.2500 1
Au1 0.0000 0.1558 0.7500 1